#one
Entry from the Alexandria database: crystalline BaSc2Nb at its relaxed geometry (PBE).

Unit cell a=11.9470 b=11.9470 c=11.9470 alpha=15.73 beta=15.73 gamma=15.73
Positions (direct):
Ba 0.0000 0.0000 0.0000
Sc 0.4246 0.4246 0.4246
Sc 0.5754 0.5754 0.5754
Nb 0.5000 0.5000 0.5000

## Properties
Space-group type: R-3m, No. 166
Calculated volume, Å³/atom: 27.30



#two
Entry from the Alexandria database: crystalline BaSc2Nb at its relaxed geometry (PBE).

Unit cell a=8.4758 b=8.4758 c=8.4758 alpha=133.25 beta=133.25 gamma=68.27
Positions (direct):
Ba 0.3750 0.6250 0.7500
Ba 0.6250 0.3750 0.2500
Sc 0.0000 0.0000 0.0000
Sc 0.0000 0.0000 0.5000
Sc 0.0000 0.5000 0.0000
Sc 0.5000 0.0000 0.5000
Nb 0.1250 0.8750 0.2500
Nb 0.8750 0.1250 0.7500

## Properties
Space-group type: I4_1/amd, No. 141
Calculated volume, Å³/atom: 39.67



#three
Entry from the Alexandria database: crystalline BaSc2Nb at its relaxed geometry (PBE).

Unit cell a=5.2689 b=5.2689 c=5.2689 alpha=60.00 beta=60.00 gamma=60.00
Positions (direct):
Ba 0.0000 0.0000 0.0000
Sc 0.2500 0.2500 0.2500
Sc 0.7500 0.7500 0.7500
Nb 0.5000 0.5000 0.5000

## Properties
Space-group type: Fm-3m, No. 225
Calculated volume, Å³/atom: 25.86



Which one sits at the top of the stability order? #three does.



#one
Entry from the Alexandria database: crystalline BaSc3Nb at its relaxed geometry (PBE).

Unit cell a=5.1647 b=5.1647 c=5.1647 alpha=90.00 beta=90.00 gamma=90.00
Positions (direct):
Ba 0.0000 0.0000 0.0000
Sc 0.0000 0.0000 0.5000
Sc 0.0000 0.5000 0.0000
Sc 0.5000 0.0000 0.0000
Nb 0.5000 0.5000 0.5000

## Properties
Space-group type: Pm-3m, No. 221
Calculated volume, Å³/atom: 27.55



#two
Entry from the Alexandria database: crystalline BaSc3Nb at its relaxed geometry (PBE).

Unit cell a=5.3542 b=5.3542 c=5.3542 alpha=90.00 beta=90.00 gamma=90.00
Positions (direct):
Ba 0.0000 0.0000 0.0000
Sc 0.0000 0.5000 0.5000
Sc 0.5000 0.0000 0.5000
Sc 0.5000 0.5000 0.0000
Nb 0.5000 0.5000 0.5000

## Properties
Space-group type: Pm-3m, No. 221
Calculated volume, Å³/atom: 30.70



Which one sits at the top of the stability order? #two does.



#one
Entry from the Alexandria database: crystalline Ba4Nb3Se12 at its relaxed geometry (PBE).

Unit cell a=6.0389 b=6.9265 c=12.6641 alpha=90.00 beta=92.68 gamma=90.00
Positions (direct):
Ba 0.2276 0.0000 0.1972
Ba 0.2698 0.5000 0.6507
Ba 0.7302 0.5000 0.3493
Ba 0.7724 0.0000 0.8028
Nb 0.0000 0.5000 0.0000
Nb 0.5000 0.0000 0.5000
Nb 0.5000 0.5000 0.0000
Se 0.2315 0.2592 0.4205
Se 0.2315 0.7408 0.4205
Se 0.2433 0.2347 0.9171
Se 0.2433 0.7653 0.9171
Se 0.2662 0.5000 0.1721
Se 0.2806 0.0000 0.6741
Se 0.7194 0.0000 0.3259
Se 0.7338 0.5000 0.8279
Se 0.7567 0.2347 0.0829
Se 0.7567 0.7653 0.0829
Se 0.7685 0.2592 0.5795
Se 0.7685 0.7408 0.5795

## Properties
Space-group type: P2/m, No. 10
Calculated volume, Å³/atom: 27.85



#two
Entry from the Alexandria database: crystalline Ba4Nb3Se12 at its relaxed geometry (PBE).

Unit cell a=9.0575 b=9.0575 c=12.3797 alpha=127.07 beta=127.07 gamma=44.49
Positions (direct):
Ba 0.1497 0.1497 0.0153
Ba 0.1553 0.1553 0.5208
Ba 0.8447 0.8447 0.4792
Ba 0.8503 0.8503 0.9847
Nb 0.4916 0.4916 0.7718
Nb 0.5000 0.5000 0.5000
Nb 0.5084 0.5084 0.2282
Se 0.1418 0.6692 0.7929
Se 0.1540 0.6755 0.2988
Se 0.3245 0.8460 0.7012
Se 0.3308 0.8582 0.2071
Se 0.3330 0.3330 0.9875
Se 0.3373 0.3373 0.4822
Se 0.6627 0.6627 0.5178
Se 0.6670 0.6670 0.0125
Se 0.6692 0.1418 0.7929
Se 0.6755 0.1540 0.2988
Se 0.8460 0.3245 0.7012
Se 0.8582 0.3308 0.2071

## Properties
Space-group type: C2/m, No. 12
Calculated volume, Å³/atom: 28.43



Which one sits at the top of the stability order? #two does.



#one
Entry from the Alexandria database: crystalline Ba2NbSe2 at its relaxed geometry (PBE).

Unit cell a=9.0938 b=9.0938 c=4.0505 alpha=90.00 beta=90.00 gamma=90.00
Positions (direct):
Ba 0.1444 0.3556 0.0000
Ba 0.3556 0.8556 0.0000
Ba 0.6444 0.1444 0.0000
Ba 0.8556 0.6444 0.0000
Nb 0.0000 0.0000 0.0000
Nb 0.5000 0.5000 0.0000
Se 0.1593 0.6593 0.5000
Se 0.3407 0.1593 0.5000
Se 0.6593 0.8407 0.5000
Se 0.8407 0.3407 0.5000

## Properties
Space-group type: P4/mbm, No. 127
Calculated volume, Å³/atom: 33.50



#two
Entry from the Alexandria database: crystalline Ba2NbSe2 at its relaxed geometry (PBE).

Unit cell a=7.0555 b=7.0555 c=7.0555 alpha=129.22 beta=129.22 gamma=74.66
Positions (direct):
Ba 0.1746 0.1746 0.0000
Ba 0.8254 0.8254 0.0000
Nb 0.5000 0.5000 0.0000
Se 0.2500 0.7500 0.5000
Se 0.7500 0.2500 0.5000

## Properties
Space-group type: I4/mmm, No. 139
Calculated volume, Å³/atom: 41.08



Which one sits at the top of the stability order? #one does.



#one
Entry from the Alexandria database: crystalline BaNb4Se8 at its relaxed geometry (PBE).

Unit cell a=8.8941 b=8.8941 c=12.3092 alpha=128.82 beta=128.82 gamma=23.26
Positions (direct):
Ba 0.0000 0.0000 0.0000
Nb 0.1575 0.1575 0.4743
Nb 0.3193 0.3193 0.1354
Nb 0.6807 0.6807 0.8646
Nb 0.8425 0.8425 0.5257
Se 0.0381 0.0381 0.7515
Se 0.3082 0.3082 0.9147
Se 0.3463 0.3463 0.6884
Se 0.3766 0.3766 0.4075
Se 0.6234 0.6234 0.5925
Se 0.6537 0.6537 0.3116
Se 0.6918 0.6918 0.0853
Se 0.9619 0.9619 0.2485

## Properties
Space-group type: C2/m, No. 12
Calculated volume, Å³/atom: 22.72



#two
Entry from the Alexandria database: crystalline BaNb4Se8 at its relaxed geometry (PBE).

Unit cell a=7.7893 b=7.7893 c=7.7893 alpha=60.00 beta=60.00 gamma=60.00
Positions (direct):
Ba 0.0000 0.0000 0.0000
Nb 0.3959 0.3959 0.3959
Nb 0.3959 0.3959 0.8124
Nb 0.3959 0.8124 0.3959
Nb 0.8124 0.3959 0.3959
Se 0.1135 0.6288 0.6288
Se 0.1508 0.1508 0.1508
Se 0.1508 0.1508 0.5475
Se 0.1508 0.5475 0.1508
Se 0.5475 0.1508 0.1508
Se 0.6288 0.1135 0.6288
Se 0.6288 0.6288 0.1135
Se 0.6288 0.6288 0.6288

## Properties
Space-group type: F-43m, No. 216
Calculated volume, Å³/atom: 25.71



Which one sits at the top of the stability order? #one does.



#one
Entry from the Alexandria database: crystalline BaNbSi3 at its relaxed geometry (PBE).

Unit cell a=4.9620 b=4.9620 c=4.9620 alpha=90.00 beta=90.00 gamma=90.00
Positions (direct):
Ba 0.0000 0.0000 0.0000
Nb 0.5000 0.5000 0.5000
Si 0.0000 0.5000 0.5000
Si 0.5000 0.0000 0.5000
Si 0.5000 0.5000 0.0000

## Properties
Space-group type: Pm-3m, No. 221
Calculated volume, Å³/atom: 24.43



#two
Entry from the Alexandria database: crystalline BaNbSi3 at its relaxed geometry (PBE).

Unit cell a=5.2440 b=5.2440 c=5.2440 alpha=90.00 beta=90.00 gamma=90.00
Positions (direct):
Ba 0.0000 0.0000 0.0000
Nb 0.5000 0.5000 0.5000
Si 0.0000 0.0000 0.5000
Si 0.0000 0.5000 0.0000
Si 0.5000 0.0000 0.0000

## Properties
Space-group type: Pm-3m, No. 221
Calculated volume, Å³/atom: 28.84



Which one sits at the top of the stability order? #one does.



#one
Entry from the Alexandria database: crystalline BaNbVSi2 at its relaxed geometry (PBE).

Unit cell a=5.0174 b=5.0174 c=4.8952 alpha=90.00 beta=90.00 gamma=90.00
Positions (direct):
Ba 0.0000 0.0000 0.0000
Nb 0.5000 0.5000 0.5000
V 0.5000 0.5000 0.0000
Si 0.0000 0.5000 0.5000
Si 0.5000 0.0000 0.5000

## Properties
Space-group type: P4/mmm, No. 123
Calculated volume, Å³/atom: 24.65



#two
Entry from the Alexandria database: crystalline BaNbVSi2 at its relaxed geometry (PBE).

Unit cell a=4.6825 b=4.6825 c=5.2582 alpha=90.00 beta=90.00 gamma=90.00
Positions (direct):
Ba 0.0000 0.0000 0.0000
Nb 0.5000 0.5000 0.0000
V 0.0000 0.0000 0.5000
Si 0.0000 0.5000 0.5000
Si 0.5000 0.0000 0.5000

## Properties
Space-group type: P4/mmm, No. 123
Calculated volume, Å³/atom: 23.06



Which one sits at the top of the stability order? #one does.



#one
Entry from the Alexandria database: crystalline BaNbSn at its relaxed geometry (PBE).

Unit cell a=3.5332 b=6.5834 c=8.5188 alpha=90.90 beta=90.25 gamma=105.38
Positions (direct):
Ba 0.0000 0.0000 0.0000
Ba 0.2601 0.5207 0.3397
Nb 0.6369 0.2587 0.6683
Nb 0.9721 0.9280 0.6169
Sn 0.3100 0.6042 0.7667
Sn 0.5349 0.0624 0.3623

## Properties
Space-group type: P1, No. 1
Calculated volume, Å³/atom: 31.84



#two
Entry from the Alexandria database: crystalline BaNbSn at its relaxed geometry (PBE).

Unit cell a=3.8713 b=3.8713 c=12.6248 alpha=90.11 beta=90.11 gamma=89.99
Positions (direct):
Ba 0.0000 0.0000 0.0000
Ba 0.5046 0.5046 0.6894
Nb 0.0018 0.0018 0.2897
Nb 0.0033 0.0033 0.4878
Sn 0.5011 0.5011 0.1823
Sn 0.5029 0.5029 0.4208

## Properties
Space-group type: Cm, No. 8
Calculated volume, Å³/atom: 31.53



#three
Entry from the Alexandria database: crystalline BaNbSn at its relaxed geometry (PBE).

Unit cell a=12.0959 b=12.0959 c=4.1363 alpha=99.76 beta=99.76 gamma=19.73
Positions (direct):
Ba 0.1630 0.1630 0.1613
Ba 0.8370 0.8370 0.8387
Nb 0.0000 0.0000 0.5000
Nb 0.5000 0.5000 0.0000
Sn 0.4121 0.4121 0.4127
Sn 0.5879 0.5879 0.5873

## Properties
Space-group type: C2/m, No. 12
Calculated volume, Å³/atom: 33.55



Which one sits at the top of the stability order? #three does.



#one
Entry from the Alexandria database: crystalline BaNbSn at its relaxed geometry (PBE).

Unit cell a=3.6481 b=3.6663 c=13.5591 alpha=85.00 beta=82.51 gamma=89.97
Positions (direct):
Ba 0.0818 0.1390 0.3494
Ba 0.9182 0.8610 0.6506
Nb 0.2261 0.2337 0.0511
Nb 0.7739 0.7663 0.9489
Sn 0.3308 0.3042 0.8319
Sn 0.6692 0.6958 0.1681

## Properties
Space-group type: P-1, No. 2
Calculated volume, Å³/atom: 29.85



#two
Entry from the Alexandria database: crystalline BaNbSn at its relaxed geometry (PBE).

Unit cell a=6.4920 b=6.4920 c=6.4920 alpha=132.80 beta=100.68 gamma=97.77
Positions (direct):
Ba 0.0000 0.0000 0.0000
Ba 0.6507 0.1507 0.5000
Nb 0.1031 0.7424 0.3607
Nb 0.3817 0.7424 0.6393
Sn 0.2433 0.4253 0.8180
Sn 0.6074 0.4253 0.1820

## Properties
Space-group type: Imm2, No. 44
Calculated volume, Å³/atom: 30.65



Which one sits at the top of the stability order? #one does.



#one
Entry from the Alexandria database: crystalline BaNbSn at its relaxed geometry (PBE).

Unit cell a=5.0504 b=5.0504 c=11.6935 alpha=101.00 beta=101.00 gamma=44.98
Positions (direct):
Ba 0.1734 0.1734 0.1741
Ba 0.8266 0.8266 0.8259
Nb 0.1642 0.1642 0.5469
Nb 0.8358 0.8358 0.4531
Sn 0.4768 0.4768 0.6365
Sn 0.5232 0.5232 0.3635

## Properties
Space-group type: C2/m, No. 12
Calculated volume, Å³/atom: 34.38



#two
Entry from the Alexandria database: crystalline BaNbSn at its relaxed geometry (PBE).

Unit cell a=5.8107 b=4.5978 c=8.2046 alpha=90.00 beta=110.26 gamma=90.00
Positions (direct):
Ba 0.0000 0.0000 0.0000
Ba 0.3210 0.0000 0.6372
Nb 0.4754 0.5000 0.2808
Nb 0.6596 0.0000 0.3531
Sn 0.8077 0.5000 0.6299
Sn 0.9827 0.5000 0.3036

## Properties
Space-group type: Pm, No. 6
Calculated volume, Å³/atom: 34.27



Which one sits at the top of the stability order? #one does.